Tm2NpFeO8: optimized geometry, GGA+U.

Cell lengths 6.793, 7.138, 6.734 Å; angles 90.00, 90.00, 90.00 degrees
Space group Cmmm (No. 65)
Asymmetric unit:
Tm 0.000 0.000 0.236 [4 per cell]
Np 0.000 0.500 0.500 [2 per cell]
Fe 0.000 0.500 0.000 [2 per cell]
O 0.000 0.317 0.265 [8 per cell]
O 0.205 0.000 0.500 [4 per cell]
O 0.215 0.000 0.000 [4 per cell]

Output
* calculated total energy: -8.33 eV per atom
* calculated volume: 326 Å³ per cell
* magnetic moment: 0.42 μB per atom